1.
Material: TcGeAs3
Method: DFT, GGA-PBEsol
State: optimized geometry

```
5
Lattice="4.753 0.000 0.000 0.000 4.753 0.000 0.000 0.000 4.753" Properties=species:S:1:pos:R:3 pbc="T T T"
Tc 0.000 0.000 0.000
Ge 2.376 2.376 2.376
As 0.000 2.376 2.376
As 2.376 0.000 2.376
As 2.376 2.376 0.000
```

Values from the calculation:
The density of states at the Fermi level comes out at 0.704 states/eV/atom. Its calculated density is 6.12 g cm⁻³. The energy relative to the lowest polymorph listed for this composition is 0.788 eV per atom. The calculation puts the energy of formation at 1382 meV/atom. As for the crystal system: cubic.

2.
Material: SrReSb
Method: DFT, GGA-PBEsol
State: optimized geometry

```
3
Lattice="4.521 0.000 0.000 -2.261 3.916 0.000 0.000 0.000 4.360" Properties=species:S:1:pos:R:3 pbc="T T T"
Sr 0.000 0.000 0.000
Re 0.000 2.610 2.180
Sb 2.261 1.305 2.180
```

Values from the calculation:
The value obtained for the formation energy (no corrections) is 0.363 eV per atom. The density of states at the Fermi level comes out at 1.110 states/eV/atom. Its calculated density is 8.51 g cm⁻³. As for the crystal system: hexagonal.

3.
Material: KZrAsSe2
Method: DFT, GGA-PBEsol
State: optimized geometry

```
5
Lattice="5.068 0.000 0.000 0.000 5.068 0.000 0.000 0.000 7.423" Properties=species:S:1:pos:R:3 pbc="T T T"
K 0.000 0.000 0.000
Zr 0.000 0.000 3.712
As 2.534 2.534 0.000
Se 0.000 2.534 3.712
Se 2.534 0.000 3.712
```

Values from the calculation:
The value obtained for the formation energy (no corrections) is 0.119 eV per atom. The density of states at the Fermi level comes out at 0.570 states/eV/atom. Its calculated density is 3.16 g cm⁻³. As for the crystal system: tetragonal.

4.
Material: BaAgSe
Method: DFT, GGA-PBEsol
State: optimized geometry

```
3
Lattice="4.658 0.000 0.000 -2.329 4.034 0.000 0.000 0.000 4.427" Properties=species:S:1:pos:R:3 pbc="T T T"
Ba 0.000 0.000 0.000
Ag 0.000 2.690 2.213
Se 2.329 1.345 2.213
```

Values from the calculation:
The value obtained for the formation energy (no corrections) is -0.864 eV per atom. The density of states at the Fermi level comes out at 0.613 states/eV/atom. Its calculated density is 6.47 g cm⁻³. The energy relative to the lowest polymorph listed for this composition is 0.000 eV per atom. As for the crystal system: hexagonal.

5.
Material: CoAg2C
Method: DFT, GGA-PBEsol
State: optimized geometry

```
8
Lattice="-1.770 1.770 8.826 1.770 -1.770 8.826 1.770 1.770 -8.826" Properties=species:S:1:pos:R:3 pbc="T T T"
Co 0.000 0.000 0.000
Co 0.000 1.770 4.413
Ag 0.885 -0.865 6.620
Ag 0.905 0.885 2.207
Ag 0.885 2.635 -2.207
Ag 0.865 0.885 11.033
C 1.770 0.000 4.413
C 0.000 0.000 8.826
```

Values from the calculation:
The density of states at the Fermi level comes out at 1.468 states/eV/atom. Its calculated density is 8.61 g cm⁻³. The calculation puts the energy of formation at 1639 meV/atom. As for the crystal system: tetragonal.

6.
Material: YTlCrPd2
Method: DFT, GGA-PBEsol
State: optimized geometry

```
5
Lattice="4.607 0.000 0.000 0.000 4.607 0.000 0.000 0.000 4.926" Properties=species:S:1:pos:R:3 pbc="T T T"
Y 0.000 0.000 0.000
Tl 2.304 2.304 0.000
Cr 2.304 2.304 2.463
Pd 0.000 2.304 2.463
Pd 2.304 0.000 2.463
```

Values from the calculation:
The density of states at the Fermi level comes out at 0.993 states/eV/atom. Its calculated density is 8.86 g cm⁻³. The calculation puts the energy of formation at 389 meV/atom. As for the crystal system: tetragonal.

7.
Material: La6CrSi2S14
Method: DFT, GGA-PBEsol
State: optimized geometry

```
23
Lattice="10.211 0.000 0.000 -5.106 8.843 0.000 0.000 0.000 5.682" Properties=species:S:1:pos:R:3 pbc="T T T"
La -2.649 5.012 0.000
La 2.642 0.903 2.803
La 2.089 4.042 0.000
La 0.560 8.631 0.000
La 4.567 6.104 2.803
La 8.109 1.836 2.803
Cr 5.106 2.948 4.302
Si 0.000 0.000 5.169
Si 0.000 5.895 2.377
S 0.000 0.000 1.587
S -3.573 7.581 4.381
S 0.327 1.958 4.381
S -0.348 3.943 1.578
S -1.517 7.173 1.578
S 0.000 5.895 4.473
S 3.476 1.560 5.636
S 3.096 3.687 2.962
S 1.865 6.570 1.578
S 5.470 0.837 2.962
S 4.718 5.053 5.636
S 3.246 8.147 4.381
S 7.123 2.230 5.636
S 6.751 4.319 2.962
```

Values from the calculation:
The value obtained for the formation energy (no corrections) is -1.728 eV per atom. The density of states at the Fermi level comes out at 0.277 states/eV/atom. Its calculated density is 4.50 g cm⁻³. As for the crystal system: trigonal.

8.
Material: Lu3GaC
Method: DFT, GGA-PBEsol
State: optimized geometry

```
5
Lattice="4.659 0.000 0.000 0.000 4.659 0.000 0.000 0.000 4.659" Properties=species:S:1:pos:R:3 pbc="T T T"
Lu 0.000 0.000 2.330
Lu 0.000 2.330 0.000
Lu 2.330 0.000 0.000
Ga 2.330 2.330 2.330
C 0.000 0.000 0.000
```

Values from the calculation:
The density of states at the Fermi level comes out at 0.105 states/eV/atom. Its calculated density is 9.96 g cm⁻³. The calculation puts the energy of formation at -577 meV/atom. As for the crystal system: cubic.

9.
Material: LiTaOs2
Method: DFT, GGA-PBEsol
State: optimized geometry

```
4
Lattice="-1.523 2.257 4.173 1.523 -2.257 4.173 1.523 2.257 -4.173" Properties=species:S:1:pos:R:3 pbc="T T T"
Li 0.000 0.000 0.000
Ta 0.000 0.000 4.173
Os 1.523 0.000 2.106
Os 0.000 2.257 2.067
```

Values from the calculation:
The density of states at the Fermi level comes out at 0.562 states/eV/atom. Its calculated density is 16.45 g cm⁻³. The calculation puts the energy of formation at 118 meV/atom. As for the crystal system: orthorhombic.

10.
Material: NbBiN2Cl
Method: DFT, GGA-PBEsol
State: optimized geometry

```
5
Lattice="4.296 0.000 0.000 0.000 4.296 0.000 0.000 0.000 5.142" Properties=species:S:1:pos:R:3 pbc="T T T"
Nb 0.000 0.000 0.000
Bi 2.148 2.148 2.571
N 0.000 2.148 2.571
N 2.148 0.000 2.571
Cl 2.148 2.148 0.000
```

Values from the calculation:
The value obtained for the formation energy (no corrections) is 1.690 eV per atom. The density of states at the Fermi level comes out at 0.726 states/eV/atom. Its calculated density is 6.39 g cm⁻³. As for the crystal system: tetragonal.

11.
Material: Se2SBrCl
Method: DFT, GGA-PBEsol
State: optimized geometry

```
5
Lattice="4.851 0.000 0.000 0.000 4.851 0.000 0.000 0.000 4.890" Properties=species:S:1:pos:R:3 pbc="T T T"
Se 0.000 2.426 0.000
Se 2.426 0.000 0.000
S 0.000 0.000 0.000
Br 0.000 0.000 2.445
Cl 2.426 2.426 2.445
```

Values from the calculation:
The value obtained for the formation energy (no corrections) is 0.550 eV per atom. The density of states at the Fermi level comes out at 1.037 states/eV/atom. Its calculated density is 4.41 g cm⁻³. As for the crystal system: tetragonal.

12.
Material: SrLiRe2
Method: DFT, GGA-PBEsol
State: optimized geometry

```
4
Lattice="2.748 0.000 0.000 0.000 5.229 0.000 -0.760 0.000 4.899" Properties=species:S:1:pos:R:3 pbc="T T T"
Sr 0.000 0.000 0.000
Li 0.994 0.000 2.450
Re 0.313 2.614 3.681
Re 1.675 2.614 1.218
```

Values from the calculation:
The density of states at the Fermi level comes out at 0.515 states/eV/atom. Its calculated density is 11.02 g cm⁻³. The energy relative to the lowest polymorph listed for this composition is 0.028 eV per atom. The calculation puts the energy of formation at 800 meV/atom. As for the crystal system: monoclinic.